Record 1
# CoMoPb2 (PBE-GGA, optimized geometry)
data_CoMoPb2
_chemical_formula_sum 'Co1 Mo1 Pb2'
_cell_length_a 3.393
_cell_length_b 3.388
_cell_length_c 6.565
_cell_angle_alpha 90.00
_cell_angle_beta 91.27
_cell_angle_gamma 90.00
_symmetry_space_group_name_H-M 'P 1 2/m 1'
_symmetry_Int_Tables_number 10
_symmetry_space_group_name_Hall '-P 2y'
loop_
_atom_site_label
_atom_site_type_symbol
_atom_site_fract_x
_atom_site_fract_y
_atom_site_fract_z
Co1 Co 0.000 0.000 0.000
Mo1 Mo 0.000 0.000 0.500
Pb1 Pb 0.493 0.500 0.242
# **Calculated formation energy**: 0.771 eV per atom

Record 2
# CoMoPb2 (PBE-GGA, optimized geometry)
data_CoMoPb2
_chemical_formula_sum 'Co2 Mo2 Pb4'
_cell_length_a 4.144
_cell_length_b 3.840
_cell_length_c 10.276
_cell_angle_alpha 90.00
_cell_angle_beta 90.00
_cell_angle_gamma 90.00
_symmetry_space_group_name_H-M 'A m m 2'
_symmetry_Int_Tables_number 38
_symmetry_space_group_name_Hall 'A 2 -2'
loop_
_atom_site_label
_atom_site_type_symbol
_atom_site_fract_x
_atom_site_fract_y
_atom_site_fract_z
Co1 Co 0.000 0.000 0.000
Mo1 Mo 0.500 0.000 0.122
Pb1 Pb 0.000 0.000 0.710
Pb2 Pb 0.500 0.000 0.408
# **Calculated formation energy**: 0.502 eV per atom

Record 3
# CoMoPb2 (PBE-GGA, optimized geometry)
data_CoMoPb2
_chemical_formula_sum 'Co4 Mo4 Pb8'
_cell_length_a 7.465
_cell_length_b 7.465
_cell_length_c 6.040
_cell_angle_alpha 90.00
_cell_angle_beta 90.00
_cell_angle_gamma 90.00
_symmetry_space_group_name_H-M 'I -4 2 d'
_symmetry_Int_Tables_number 122
_symmetry_space_group_name_Hall 'I -4 2bw'
loop_
_atom_site_label
_atom_site_type_symbol
_atom_site_fract_x
_atom_site_fract_y
_atom_site_fract_z
Co1 Co 0.000 0.000 0.000
Mo1 Mo 0.000 0.000 0.500
Pb1 Pb 0.217 0.250 0.125
# **Calculated formation energy**: 1.009 eV per atom

Record 4
# Co2MoPb (PBE-GGA, optimized geometry)
data_Co2MoPb
_chemical_formula_sum 'Co4 Mo2 Pb2'
_cell_length_a 3.128
_cell_length_b 4.389
_cell_length_c 8.881
_cell_angle_alpha 90.00
_cell_angle_beta 90.00
_cell_angle_gamma 90.00
_symmetry_space_group_name_H-M 'I m m 2'
_symmetry_Int_Tables_number 44
_symmetry_space_group_name_Hall 'I 2 -2'
loop_
_atom_site_label
_atom_site_type_symbol
_atom_site_fract_x
_atom_site_fract_y
_atom_site_fract_z
Co1 Co 0.000 0.000 0.000
Co2 Co 0.000 0.500 0.272
Mo1 Mo 0.000 0.000 0.525
Pb1 Pb 0.000 0.500 0.753
# **Calculated formation energy**: 0.582 eV per atom